# 1
## NaLaInPb (PBE)

Data for crystalline NaLaInPb at its relaxed geometry.

Cell: 4.6058 4.9612 5.1492 Å, 90.00 90.00 90.00°
Last column: nearest neighbours and their distance in Å.
Space group Pmmm (No. 47)
Inequivalent atoms, fractional coordinates:
Na  0.0000  0.0000  0.0000  4 In 3.38, 4 Pb 3.45, 4 La 3.58
La  0.0000  0.5000  0.5000  4 Pb 3.38, 4 In 3.45, 4 Na 3.58
In  0.5000  0.5000  0.0000  4 Na 3.38, 4 La 3.45, 4 Pb 3.58
Pb  0.5000  0.0000  0.5000  4 La 3.38, 4 Na 3.45, 4 In 3.58

## Properties
As for the energy above the lowest structure with this stoichiometry: 0.0000 eV per atom. The calculation puts the density of states at the Fermi level at 2.96 states/eV/f.u. The volume is 29.4 A^3/atom. The formation energy comes out at -142 kJ/mol of formula units. For the total magnetic moment, the calculation gives 0.000 μB/cell. As for the raw total energy: -3.54 eV/atom.

---

# 2
## NaLaInPb (PBE)

Data for crystalline NaLaInPb at its relaxed geometry.

Cell: 7.7980 7.7980 7.7980 Å, 90.00 90.00 90.00°
Last column: nearest neighbours and their distance in Å.
Space group F-43m (No. 216)
Inequivalent atoms, fractional coordinates:
Na  0.0000  0.0000  0.0000  4 Pb 3.38, 4 In 3.38
La  0.0000  0.0000  0.5000  4 In 3.38, 4 Pb 3.38
In  0.2500  0.2500  0.2500  4 La 3.38, 4 Na 3.38
Pb  0.2500  0.2500  0.7500  4 La 3.38, 4 Na 3.38

## Properties
As for the energy above the lowest structure with this stoichiometry: 0.0366 eV per atom. The calculation puts the density of states at the Fermi level at 2.59 states/eV/f.u. The volume is 29.6 A^3/atom. The formation energy comes out at -128 kJ/mol of formula units. For the total magnetic moment, the calculation gives 0.000 μB/cell. As for the raw total energy: -3.51 eV/atom.

---

# 3
## NaLaInPd (PBE)

Data for crystalline NaLaInPd at its relaxed geometry.

Cell: 7.2026 7.2026 7.2026 Å, 90.00 90.00 90.00°
Last column: nearest neighbours and their distance in Å.
Space group F-43m (No. 216)
Inequivalent atoms, fractional coordinates:
Na  0.0000  0.0000  0.0000  4 La 3.12, 4 In 3.12
La  0.2500  0.2500  0.7500  4 Na 3.12, 4 Pd 3.12
In  0.2500  0.2500  0.2500  4 Na 3.12, 4 Pd 3.12
Pd  0.0000  0.0000  0.5000  4 In 3.12, 4 La 3.12

## Properties
The calculation puts the density of states at the Fermi level at 6.37 states/eV/f.u. The volume is 23.4 A^3/atom. The formation energy comes out at -154 kJ/mol of formula units. For the total magnetic moment, the calculation gives 0.000 μB/cell. As for the raw total energy: -3.94 eV/atom.

---

# 4
## NaLaPmIn (PBE)

Data for crystalline NaLaPmIn at its relaxed geometry.

Cell: 7.9030 7.9030 7.9030 Å, 90.00 90.00 90.00°
Last column: nearest neighbours and their distance in Å.
Space group F-43m (No. 216)
Inequivalent atoms, fractional coordinates:
Na  0.0000  0.0000  0.0000  4 Pm 3.42, 4 La 3.42
La  0.2500  0.2500  0.7500  4 Na 3.42, 4 In 3.42
Pm  0.2500  0.2500  0.2500  4 In 3.42, 4 Na 3.42
In  0.0000  0.0000  0.5000  4 La 3.42, 4 Pm 3.42

## Properties
The calculation puts the density of states at the Fermi level at 5.25 states/eV/f.u. The volume is 30.8 A^3/atom. The formation energy comes out at -65 kJ/mol of formula units. For the total magnetic moment, the calculation gives 0.001 μB/cell. As for the raw total energy: -3.60 eV/atom.

---

# 5
## NaLaPrIn (PBE)

Data for crystalline NaLaPrIn at its relaxed geometry.

Cell: 7.9503 7.9503 7.9503 Å, 90.00 90.00 90.00°
Last column: nearest neighbours and their distance in Å.
Space group F-43m (No. 216)
Inequivalent atoms, fractional coordinates:
Na  0.0000  0.0000  0.0000  4 Pr 3.44, 4 La 3.44
La  0.2500  0.2500  0.2500  4 Na 3.44, 4 In 3.44
Pr  0.2500  0.2500  0.7500  4 In 3.44, 4 Na 3.44
In  0.0000  0.0000  0.5000  4 La 3.44, 4 Pr 3.44

## Properties
The calculation puts the density of states at the Fermi level at 5.28 states/eV/f.u. The volume is 31.4 A^3/atom. The formation energy comes out at -68 kJ/mol of formula units. For the total magnetic moment, the calculation gives 0.003 μB/cell. As for the raw total energy: -3.62 eV/atom.

---

# 6
## NaLaInPt (PBE)

Data for crystalline NaLaInPt at its relaxed geometry.

Cell: 7.1580 7.1580 7.1580 Å, 90.00 90.00 90.00°
Last column: nearest neighbours and their distance in Å.
Space group F-43m (No. 216)
Inequivalent atoms, fractional coordinates:
Na  0.0000  0.0000  0.0000  4 La 3.10, 4 In 3.10
La  0.2500  0.2500  0.7500  4 Na 3.10, 4 Pt 3.10
In  0.2500  0.2500  0.2500  4 Na 3.10, 4 Pt 3.10
Pt  0.0000  0.0000  0.5000  4 In 3.10, 4 La 3.10

## Properties
The calculation puts the density of states at the Fermi level at 7.08 states/eV/f.u. The volume is 22.9 A^3/atom. The formation energy comes out at -202 kJ/mol of formula units. For the total magnetic moment, the calculation gives 0.009 μB/cell. As for the raw total energy: -4.28 eV/atom.

---

# 7
## NaLa2InRh (PBE)

Data for crystalline NaLa2InRh at its relaxed geometry.

Cell: 5.5440 5.5440 5.3153 Å, 90.00 90.00 90.00°
Last column: nearest neighbours and their distance in Å.
Space group P4/mmm (No. 123)
Inequivalent atoms, fractional coordinates:
Na  0.0000  0.0000  0.0000  8 La 3.84, 4 In 3.92
La  0.0000  0.5000  0.5000  2 Rh 2.77
In  0.5000  0.5000  0.0000  2 Rh 2.66
Rh  0.5000  0.5000  0.5000  2 In 2.66, 4 La 2.77

## Properties
The calculation puts the density of states at the Fermi level at 4.80 states/eV/f.u. The volume is 32.7 A^3/atom. The formation energy comes out at -171 kJ/mol of formula units. For the total magnetic moment, the calculation gives 0.000 μB/cell. As for the raw total energy: -4.61 eV/atom.

---

# 8
## NaLa2InRu (PBE)

Data for crystalline NaLa2InRu at its relaxed geometry.

Cell: 5.2969 5.2969 5.5774 Å, 90.00 90.00 90.00°
Last column: nearest neighbours and their distance in Å.
Space group P4/mmm (No. 123)
Inequivalent atoms, fractional coordinates:
Na  0.0000  0.0000  0.0000  2 Ru 2.79
La  0.0000  0.5000  0.5000  2 Ru 2.65
In  0.5000  0.5000  0.0000  4 Na 3.75, 8 La 3.85
Ru  0.0000  0.0000  0.5000  4 La 2.65, 2 Na 2.79

## Properties
As for the energy above the lowest structure with this stoichiometry: 0.1665 eV per atom. The calculation puts the density of states at the Fermi level at 4.45 states/eV/f.u. The volume is 31.3 A^3/atom. The formation energy comes out at -26 kJ/mol of formula units. For the total magnetic moment, the calculation gives 0.000 μB/cell. As for the raw total energy: -4.69 eV/atom.

---

# 9
## NaLaIn2Ru (PBE)

Data for crystalline NaLaIn2Ru at its relaxed geometry.

Cell: 5.3391 5.3391 5.1724 Å, 90.00 90.00 90.00°
Last column: nearest neighbours and their distance in Å.
Space group P4/mmm (No. 123)
Inequivalent atoms, fractional coordinates:
Na  0.0000  0.0000  0.0000  8 In 3.72, 4 La 3.78
La  0.5000  0.5000  0.0000  2 Ru 2.59
In  0.0000  0.5000  0.5000  2 Ru 2.67
Ru  0.5000  0.5000  0.5000  2 La 2.59, 4 In 2.67

## Properties
The calculation puts the density of states at the Fermi level at 3.69 states/eV/f.u. The volume is 29.5 A^3/atom. The formation energy comes out at -105 kJ/mol of formula units. For the total magnetic moment, the calculation gives 0.000 μB/cell. As for the raw total energy: -4.42 eV/atom.

---

# 10
## NaLaInRu2 (PBE)

Data for crystalline NaLaInRu2 at its relaxed geometry.

Cell: 5.0220 5.0220 4.8712 Å, 90.00 90.00 90.00°
Last column: nearest neighbours and their distance in Å.
Space group P4/mmm (No. 123)
Inequivalent atoms, fractional coordinates:
Na  0.0000  0.0000  0.0000  2 In 2.44
La  0.5000  0.5000  0.0000  8 Ru 3.50, 4 Na 3.55
In  0.0000  0.0000  0.5000  2 Na 2.44, 4 Ru 2.51
Ru  0.0000  0.5000  0.5000  2 In 2.51

## Properties
The calculation puts the density of states at the Fermi level at 6.18 states/eV/f.u. The volume is 24.6 A^3/atom. The formation energy comes out at 375 kJ/mol of formula units. For the total magnetic moment, the calculation gives 0.526 μB/cell. As for the raw total energy: -4.73 eV/atom.